Record 1
An optimized crystal structure of SrIn2Pb2. Source: Alexandria via LeMat-Bulk, functional PBE.

Calculated values
* distance to the lowest polymorph of the same formula: 38 meV per atom

a b c (Å): 8.964 8.964 3.910
angles (deg): 90.00 90.00 90.00
Space group P4/mbm (No. 127)
Symmetry-distinct sites (fractional):
Sr (0.000, 0.000, 0.000) (multiplicity 2)
In (0.123, 0.377, 0.000) (multiplicity 4)
Pb (0.171, 0.671, 0.500) (multiplicity 4)

***

Record 2
An optimized crystal structure of Sr2InPb. Source: Alexandria via LeMat-Bulk, functional PBE.

Calculated values
* distance to the lowest polymorph of the same formula: 25 meV per atom

a b c (Å): 3.980 4.283 8.057
angles (deg): 90.00 90.00 90.00
Space group Pmmm (No. 47)
Symmetry-distinct sites (fractional):
Sr (0.000, 0.000, 0.249) (multiplicity 2)
In (0.500, 0.500, 0.000) (multiplicity 1)
Pb (0.500, 0.500, 0.500) (multiplicity 1)

***

Record 3
An optimized crystal structure of Sr5In2Pb. Source: Alexandria via LeMat-Bulk, functional PBE.

Calculated values
* E_tot: -2.61 eV per atom

a b c (Å): 8.808 8.808 16.316
angles (deg): 90.00 90.00 90.00
Space group I4/mcm (No. 140)
Symmetry-distinct sites (fractional):
Sr (0.000, 0.000, 0.000) (multiplicity 4)
Sr (0.176, 0.324, 0.144) (multiplicity 16)
In (0.116, 0.384, 0.500) (multiplicity 8)
Pb (0.000, 0.000, 0.250) (multiplicity 4)